w.
Material: LiInHg
Method: DFT, SCAN
State: PBEsol geometry

Summary:
space-group type	F-43m (216)
size of the total moment	0.00	μB per formula unit

a = 6.5458 Å, b = 6.5458 Å, c = 6.5458 Å
α = 90.00°, β = 90.00°, γ = 90.00°
Atoms (fractional coordinates):
Li 0.0000 0.0000 0.0000
Li 0.0000 0.5000 0.5000
Li 0.5000 0.0000 0.5000
Li 0.5000 0.5000 0.0000
In 0.0000 0.0000 0.5000
In 0.0000 0.5000 0.0000
In 0.5000 0.0000 0.0000
In 0.5000 0.5000 0.5000
Hg 0.2500 0.2500 0.7500
Hg 0.2500 0.7500 0.2500
Hg 0.7500 0.2500 0.2500
Hg 0.7500 0.7500 0.7500

x.
Material: LiInHg
Method: DFT, SCAN
State: PBEsol geometry

Summary:
space-group type	P-6m2 (187)
size of the total moment	0.00	μB per formula unit

a = 4.8390 Å, b = 4.8390 Å, c = 3.1683 Å
α = 90.00°, β = 90.00°, γ = 120.00°
Atoms (fractional coordinates):
Li 0.0000 0.0000 0.0000
In 0.3333 0.6667 0.5000
Hg 0.6667 0.3333 0.5000

Stability summary - winner: x; margin: 39 meV/atom.

w.
Material: LiInHg
Method: DFT, SCAN
State: PBEsol geometry

Summary:
space-group type	I4mm (107)
size of the total moment	0.00	μB per formula unit

a = 3.1671 Å, b = 3.1671 Å, c = 12.0595 Å
α = 90.00°, β = 90.00°, γ = 90.00°
Atoms (fractional coordinates):
Li 0.0000 0.0000 0.0000
Li 0.5000 0.5000 0.5000
In 0.0000 0.0000 0.3338
In 0.5000 0.5000 0.8338
Hg 0.0000 0.0000 0.6402
Hg 0.5000 0.5000 0.1402

x.
Material: LiInHg
Method: DFT, SCAN
State: PBEsol geometry

Summary:
space-group type	Imm2 (44)
size of the total moment	0.00	μB per formula unit

a = 3.4721 Å, b = 3.9662 Å, c = 8.8254 Å
α = 90.00°, β = 90.00°, γ = 90.00°
Atoms (fractional coordinates):
Li 0.0000 0.0000 0.0000
Li 0.5000 0.5000 0.5000
In 0.0000 0.0000 0.3284
In 0.5000 0.5000 0.8284
Hg 0.0000 0.0000 0.6586
Hg 0.5000 0.5000 0.1586

Stability summary - winner: x; margin: 14 meV/atom.

w.
Material: MgIn2Hg2
Method: DFT, SCAN
State: PBEsol geometry

Summary:
space-group type	P4/mbm (127)
size of the total moment	0.00	μB per formula unit

a = 7.5431 Å, b = 7.5431 Å, c = 4.2610 Å
α = 90.00°, β = 90.00°, γ = 90.00°
Atoms (fractional coordinates):
Mg 0.0000 0.0000 0.0000
Mg 0.5000 0.5000 0.0000
In 0.1607 0.3393 0.5000
In 0.3393 0.8393 0.5000
In 0.6607 0.1607 0.5000
In 0.8393 0.6607 0.5000
Hg 0.1447 0.6447 0.0000
Hg 0.3553 0.1447 0.0000
Hg 0.6447 0.8553 0.0000
Hg 0.8553 0.3553 0.0000

x.
Material: MgIn2Hg2
Method: DFT, SCAN
State: PBEsol geometry

Summary:
space-group type	I4/mmm (139)
size of the total moment	0.00	μB per formula unit

a = 4.2919 Å, b = 4.2919 Å, c = 13.4720 Å
α = 90.00°, β = 90.00°, γ = 90.00°
Atoms (fractional coordinates):
Mg 0.0000 0.0000 0.0000
Mg 0.5000 0.5000 0.5000
In 0.0000 0.5000 0.2500
In 0.0000 0.5000 0.7500
In 0.5000 0.0000 0.2500
In 0.5000 0.0000 0.7500
Hg 0.0000 0.0000 0.3996
Hg 0.0000 0.0000 0.6004
Hg 0.5000 0.5000 0.1004
Hg 0.5000 0.5000 0.8996

Stability summary - winner: w; margin: 91 meV/atom.

w.
Material: Mn2InHg
Method: DFT, SCAN
State: PBEsol geometry

Summary:
space-group type	R-3m (166)
size of the total moment	7.83	μB per formula unit

a = 3.0379 Å, b = 3.0379 Å, c = 26.4285 Å
α = 90.00°, β = 90.00°, γ = 120.00°
Atoms (fractional coordinates):
Mn 0.0000 0.0000 0.2504
Mn 0.0000 0.0000 0.7496
Mn 0.3333 0.6667 0.4163
Mn 0.3333 0.6667 0.9170
Mn 0.6667 0.3333 0.0830
Mn 0.6667 0.3333 0.5837
In 0.0000 0.0000 0.5000
In 0.3333 0.6667 0.1667
In 0.6667 0.3333 0.8333
Hg 0.0000 0.0000 0.0000
Hg 0.3333 0.6667 0.6667
Hg 0.6667 0.3333 0.3333

x.
Material: Mn2InHg
Method: DFT, SCAN
State: PBEsol geometry

Summary:
space-group type	Cmmm (65)
size of the total moment	7.56	μB per formula unit

a = 5.7891 Å, b = 7.6853 Å, c = 2.9621 Å
α = 90.00°, β = 90.00°, γ = 90.00°
Atoms (fractional coordinates):
Mn 0.2500 0.2500 0.0000
Mn 0.2500 0.7500 0.0000
Mn 0.7500 0.2500 0.0000
Mn 0.7500 0.7500 0.0000
In 0.0000 0.0000 0.5000
In 0.5000 0.5000 0.5000
Hg 0.0000 0.5000 0.5000
Hg 0.5000 0.0000 0.5000

Stability summary - winner: x; margin: 65 meV/atom.

w.
Material: InHgMo2
Method: DFT, SCAN
State: PBEsol geometry

Summary:
space-group type	R3m (160)
size of the total moment	0.00	μB per formula unit

a = 3.1025 Å, b = 3.1025 Å, c = 27.5468 Å
α = 90.00°, β = 90.00°, γ = 120.00°
Atoms (fractional coordinates):
In 0.0000 0.0000 0.0000
In 0.3333 0.6667 0.6667
In 0.6667 0.3333 0.3333
Hg 0.0000 0.0000 0.7618
Hg 0.3333 0.6667 0.4285
Hg 0.6667 0.3333 0.0952
Mo 0.0000 0.0000 0.2450
Mo 0.0000 0.0000 0.5164
Mo 0.3333 0.6667 0.1831
Mo 0.3333 0.6667 0.9116
Mo 0.6667 0.3333 0.5783
Mo 0.6667 0.3333 0.8497

x.
Material: InHgMo2
Method: DFT, SCAN
State: PBEsol geometry

Summary:
space-group type	P2/m (10)
size of the total moment	0.00	μB per formula unit

a = 2.8219 Å, b = 4.6213 Å, c = 5.5623 Å
α = 90.00°, β = 103.57°, γ = 90.00°
Atoms (fractional coordinates):
In 0.0000 0.0000 0.0000
Hg 0.5000 0.0000 0.5000
Mo 0.2768 0.5000 0.7692
Mo 0.7232 0.5000 0.2308

y.
Material: InHgMo2
Method: DFT, SCAN
State: PBEsol geometry

Summary:
space-group type	Pm (6)
size of the total moment	0.00	μB per formula unit

a = 2.9063 Å, b = 4.3151 Å, c = 5.8597 Å
α = 90.00°, β = 103.87°, γ = 90.00°
Atoms (fractional coordinates):
In 0.0000 0.0000 0.0000
Hg 0.1716 0.5000 0.7255
Mo 0.5180 0.0000 0.4683
Mo 0.6737 0.5000 0.2547

Stability summary - winner: w; margin: 92 meV/atom.

w.
Material: InHgMo2
Method: DFT, SCAN
State: PBEsol geometry

Summary:
space-group type	I-4m2 (119)
size of the total moment	0.00	μB per formula unit

a = 4.1100 Å, b = 4.1100 Å, c = 8.1934 Å
α = 90.00°, β = 90.00°, γ = 90.00°
Atoms (fractional coordinates):
In 0.0000 0.0000 0.0000
In 0.5000 0.5000 0.5000
Hg 0.0000 0.5000 0.7500
Hg 0.5000 0.0000 0.2500
Mo 0.0000 0.0000 0.5000
Mo 0.0000 0.5000 0.2500
Mo 0.5000 0.0000 0.7500
Mo 0.5000 0.5000 0.0000

x.
Material: InHgMo2
Method: DFT, SCAN
State: PBEsol geometry

Summary:
space-group type	Imm2 (44)
size of the total moment	0.00	μB per formula unit

a = 3.2948 Å, b = 4.7523 Å, c = 9.1590 Å
α = 90.00°, β = 90.00°, γ = 90.00°
Atoms (fractional coordinates):
In 0.0000 0.0000 0.0000
In 0.5000 0.5000 0.5000
Hg 0.0000 0.5000 0.2340
Hg 0.5000 0.0000 0.7340
Mo 0.0000 0.0000 0.4683
Mo 0.0000 0.5000 0.7655
Mo 0.5000 0.0000 0.2655
Mo 0.5000 0.5000 0.9683

Stability summary - winner: x; margin: 103 meV/atom.

w.
Material: Na2In2Hg
Method: DFT, SCAN
State: PBEsol geometry

Summary:
space-group type	I4/mmm (139)
size of the total moment	0.00	μB per formula unit

a = 4.1590 Å, b = 4.1590 Å, c = 15.1901 Å
α = 90.00°, β = 90.00°, γ = 90.00°
Atoms (fractional coordinates):
Na 0.0000 0.5000 0.2500
Na 0.0000 0.5000 0.7500
Na 0.5000 0.0000 0.2500
Na 0.5000 0.0000 0.7500
In 0.0000 0.0000 0.0922
In 0.0000 0.0000 0.9078
In 0.5000 0.5000 0.4078
In 0.5000 0.5000 0.5922
Hg 0.0000 0.0000 0.5000
Hg 0.5000 0.5000 0.0000

x.
Material: Na2In2Hg
Method: DFT, SCAN
State: PBEsol geometry

Summary:
space-group type	P4/mbm (127)
size of the total moment	0.00	μB per formula unit

a = 7.3077 Å, b = 7.3077 Å, c = 5.0696 Å
α = 90.00°, β = 90.00°, γ = 90.00°
Atoms (fractional coordinates):
Na 0.1700 0.3300 0.0000
Na 0.3300 0.8300 0.0000
Na 0.6700 0.1700 0.0000
Na 0.8300 0.6700 0.0000
In 0.1375 0.6375 0.5000
In 0.3625 0.1375 0.5000
In 0.6375 0.8625 0.5000
In 0.8625 0.3625 0.5000
Hg 0.0000 0.0000 0.5000
Hg 0.5000 0.5000 0.5000

Stability summary - winner: x; margin: 212 meV/atom.

w.
Material: InHgP2
Method: DFT, SCAN
State: PBEsol geometry

Summary:
space-group type	Cmmm (65)
size of the total moment	0.00	μB per formula unit

a = 5.6926 Å, b = 7.3282 Å, c = 3.7129 Å
α = 90.00°, β = 90.00°, γ = 90.00°
Atoms (fractional coordinates):
In 0.0000 0.0000 0.0000
In 0.5000 0.5000 0.0000
Hg 0.0000 0.5000 0.0000
Hg 0.5000 0.0000 0.0000
P 0.2500 0.2500 0.5000
P 0.2500 0.7500 0.5000
P 0.7500 0.2500 0.5000
P 0.7500 0.7500 0.5000

x.
Material: InHgP2
Method: DFT, SCAN
State: PBEsol geometry

Summary:
space-group type	Pmmm (47)
size of the total moment	0.00	μB per formula unit

a = 3.7843 Å, b = 3.8424 Å, c = 5.4873 Å
α = 90.00°, β = 90.00°, γ = 90.00°
Atoms (fractional coordinates):
In 0.0000 0.0000 0.0000
Hg 0.0000 0.5000 0.5000
P 0.5000 0.0000 0.5000
P 0.5000 0.5000 0.0000

Stability summary - winner: x; margin: 84 meV/atom.

w.
Material: InHgP
Method: DFT, SCAN
State: PBEsol geometry

Summary:
space-group type	F-43m (216)
size of the total moment	0.00	μB per formula unit

a = 6.5771 Å, b = 6.5771 Å, c = 6.5771 Å
α = 90.00°, β = 90.00°, γ = 90.00°
Atoms (fractional coordinates):
In 0.0000 0.0000 0.0000
In 0.0000 0.5000 0.5000
In 0.5000 0.0000 0.5000
In 0.5000 0.5000 0.0000
Hg 0.2500 0.2500 0.2500
Hg 0.2500 0.7500 0.7500
Hg 0.7500 0.2500 0.7500
Hg 0.7500 0.7500 0.2500
P 0.0000 0.0000 0.5000
P 0.0000 0.5000 0.0000
P 0.5000 0.0000 0.0000
P 0.5000 0.5000 0.5000

x.
Material: InHgP
Method: DFT, SCAN
State: PBEsol geometry

Summary:
space-group type	P3m1 (156)
size of the total moment	0.00	μB per formula unit

a = 3.9478 Å, b = 3.9478 Å, c = 4.8656 Å
α = 90.00°, β = 90.00°, γ = 120.00°
Atoms (fractional coordinates):
In 0.0000 0.0000 0.0000
Hg 0.6667 0.3333 0.4061
P 0.3333 0.6667 0.7265

Stability summary - winner: x; margin: 346 meV/atom.

w.
Material: InHgPb
Method: DFT, SCAN
State: PBEsol geometry

Summary:
space-group type	F-43m (216)
size of the total moment	0.00	μB per formula unit

a = 7.0193 Å, b = 7.0193 Å, c = 7.0193 Å
α = 90.00°, β = 90.00°, γ = 90.00°
Atoms (fractional coordinates):
In 0.0000 0.0000 0.0000
In 0.0000 0.5000 0.5000
In 0.5000 0.0000 0.5000
In 0.5000 0.5000 0.0000
Hg 0.2500 0.2500 0.2500
Hg 0.2500 0.7500 0.7500
Hg 0.7500 0.2500 0.7500
Hg 0.7500 0.7500 0.2500
Pb 0.2500 0.2500 0.7500
Pb 0.2500 0.7500 0.2500
Pb 0.7500 0.2500 0.2500
Pb 0.7500 0.7500 0.7500

x.
Material: InHgPb
Method: DFT, SCAN
State: PBEsol geometry

Summary:
space-group type	Imm2 (44)
size of the total moment	0.00	μB per formula unit

a = 3.4958 Å, b = 4.2609 Å, c = 10.3920 Å
α = 90.00°, β = 90.00°, γ = 90.00°
Atoms (fractional coordinates):
In 0.0000 0.0000 0.0000
In 0.5000 0.5000 0.5000
Hg 0.0000 0.0000 0.3509
Hg 0.5000 0.5000 0.8509
Pb 0.0000 0.0000 0.6795
Pb 0.5000 0.5000 0.1795

y.
Material: InHgPb
Method: DFT, SCAN
State: PBEsol geometry

Summary:
space-group type	P3m1 (156)
size of the total moment	0.00	μB per formula unit

a = 5.1842 Å, b = 5.1842 Å, c = 3.3573 Å
α = 90.00°, β = 90.00°, γ = 120.00°
Atoms (fractional coordinates):
In 0.0000 0.0000 0.0000
Hg 0.6667 0.3333 0.9791
Pb 0.3333 0.6667 0.4950

Stability summary - winner: y; margin: 13 meV/atom.

w.
Material: InSi2Hg
Method: DFT, SCAN
State: PBEsol geometry

Summary:
space-group type	Pm (6)
size of the total moment	0.00	μB per formula unit

a = 2.9455 Å, b = 3.4487 Å, c = 7.8259 Å
α = 90.00°, β = 90.08°, γ = 90.00°
Atoms (fractional coordinates):
In 0.0000 0.0000 0.0000
Si 0.0032 0.5000 0.7099
Si 0.5028 0.0000 0.5660
Hg 0.5007 0.5000 0.2851

x.
Material: InSi2Hg
Method: DFT, SCAN
State: PBEsol geometry

Summary:
space-group type	P4mm (99)
size of the total moment	0.00	μB per formula unit

a = 3.3659 Å, b = 3.3659 Å, c = 7.5466 Å
α = 90.00°, β = 90.00°, γ = 90.00°
Atoms (fractional coordinates):
In 0.0000 0.0000 0.0000
Si 0.0000 0.0000 0.3460
Si 0.5000 0.5000 0.4259
Hg 0.5000 0.5000 0.7599

y.
Material: InSi2Hg
Method: DFT, SCAN
State: PBEsol geometry

Summary:
space-group type	R-3m (166)
size of the total moment	0.00	μB per formula unit

a = 3.0689 Å, b = 3.0689 Å, c = 29.1912 Å
α = 90.00°, β = 90.00°, γ = 120.00°
Atoms (fractional coordinates):
In 0.0000 0.0000 0.0000
In 0.3333 0.6667 0.6667
In 0.6667 0.3333 0.3333
Si 0.0000 0.0000 0.2474
Si 0.0000 0.0000 0.7526
Si 0.3333 0.6667 0.4193
Si 0.3333 0.6667 0.9141
Si 0.6667 0.3333 0.0859
Si 0.6667 0.3333 0.5807
Hg 0.0000 0.0000 0.5000
Hg 0.3333 0.6667 0.1667
Hg 0.6667 0.3333 0.8333

Stability summary - winner: x; margin: 93 meV/atom.

w.
Material: InTc2Hg
Method: DFT, SCAN
State: PBEsol geometry

Summary:
space-group type	Cm (8)
size of the total moment	0.00	μB per formula unit

a = 9.7880 Å, b = 2.9446 Å, c = 4.8374 Å
α = 90.00°, β = 103.93°, γ = 90.00°
Atoms (fractional coordinates):
In 0.0000 0.0000 0.0000
In 0.5000 0.5000 0.0000
Tc 0.0321 0.5000 0.5273
Tc 0.2431 0.0000 0.7551
Tc 0.5321 0.0000 0.5273
Tc 0.7431 0.5000 0.7551
Hg 0.2720 0.5000 0.2819
Hg 0.7720 0.0000 0.2819

x.
Material: InTc2Hg
Method: DFT, SCAN
State: PBEsol geometry

Summary:
space-group type	Cmmm (65)
size of the total moment	0.00	μB per formula unit

a = 3.2052 Å, b = 4.6022 Å, c = 9.1561 Å
α = 90.00°, β = 90.00°, γ = 90.00°
Atoms (fractional coordinates):
In 0.0000 0.0000 0.0000
In 0.5000 0.5000 0.0000
Tc 0.0000 0.5000 0.2451
Tc 0.0000 0.5000 0.7549
Tc 0.5000 0.0000 0.2451
Tc 0.5000 0.0000 0.7549
Hg 0.0000 0.0000 0.5000
Hg 0.5000 0.5000 0.5000

Stability summary - winner: w; margin: 195 meV/atom.

w.
Material: In2HgTe
Method: DFT, SCAN
State: PBEsol geometry

Summary:
space-group type	R-3m (166)
size of the total moment	0.00	μB per formula unit

a = 4.1589 Å, b = 4.1589 Å, c = 22.1522 Å
α = 90.00°, β = 90.00°, γ = 120.00°
Atoms (fractional coordinates):
In 0.0000 0.0000 0.2476
In 0.0000 0.0000 0.7524
In 0.3333 0.6667 0.4191
In 0.3333 0.6667 0.9142
In 0.6667 0.3333 0.0858
In 0.6667 0.3333 0.5809
Hg 0.0000 0.0000 0.5000
Hg 0.3333 0.6667 0.1667
Hg 0.6667 0.3333 0.8333
Te 0.0000 0.0000 0.0000
Te 0.3333 0.6667 0.6667
Te 0.6667 0.3333 0.3333

x.
Material: In2HgTe
Method: DFT, SCAN
State: PBEsol geometry

Summary:
space-group type	I4/mmm (139)
size of the total moment	0.00	μB per formula unit

a = 5.3615 Å, b = 5.3615 Å, c = 7.5591 Å
α = 90.00°, β = 90.00°, γ = 90.00°
Atoms (fractional coordinates):
In 0.0000 0.5000 0.2500
In 0.0000 0.5000 0.7500
In 0.5000 0.0000 0.2500
In 0.5000 0.0000 0.7500
Hg 0.0000 0.0000 0.0000
Hg 0.5000 0.5000 0.5000
Te 0.0000 0.0000 0.5000
Te 0.5000 0.5000 0.0000

Stability summary - winner: w; margin: 147 meV/atom.